(1)
# HfZrS2 | the Alexandria database | PBE-GGA | relaxed
data_HfZrS2
_space_group_name_H-M_alt 'I -4 2 d'
_space_group_IT_number 122
_space_group_name_Hall 'I -4 2bw'
_cell_length_a 5.740
_cell_length_b 5.740
_cell_length_c 11.357
_cell_angle_alpha 90.00
_cell_angle_beta 90.00
_cell_angle_gamma 90.00
loop_
_atom_site_label
_atom_site_type_symbol
_atom_site_fract_x
_atom_site_fract_y
_atom_site_fract_z
_atom_site_occupancy
Hf1 Hf 0.000 0.000 0.000 1
Zr1 Zr 0.000 0.000 0.500 1
S1 S 0.241 0.250 0.125 1
# magnetization: 0.00 μB/cell
# energy above the lowest structure with this stoichiometry: 0.621 eV per atom
# formation energy (no corrections): -0.858 eV/atom
# total energy: -120.76 eV for the cell shown

(2)
# AgAu2Cl | the Alexandria database | PBE-GGA | relaxed
data_AgAu2Cl
_space_group_name_H-M_alt 'P 4 m m'
_space_group_IT_number 99
_cell_length_a 3.458
_cell_length_b 3.458
_cell_length_c 6.702
_cell_angle_alpha 90.00
_cell_angle_beta 90.00
_cell_angle_gamma 90.00
loop_
_space_group_symop_operation_xyz
'x,y,z'
'-y,x,z'
'-x,-y,z'
'y,-x,z'
'-x,y,z'
'y,x,z'
'x,-y,z'
'-y,-x,z'
loop_
_atom_site_label
_atom_site_type_symbol
_atom_site_fract_x
_atom_site_fract_y
_atom_site_fract_z
_atom_site_occupancy
Ag1 Ag 0.000 0.000 0.000 1
Au1 Au 0.000 0.000 0.443 1
Au2 Au 0.500 0.500 0.243 1
Cl1 Cl 0.500 0.500 0.775 1
# magnetization: 0.00 μB/cell
# energy above the lowest structure with this stoichiometry: 0.057 eV per atom
# formation energy (no corrections): 0.021 eV/atom
# total energy: -11.17 eV for the cell shown

(3)
# Tb2Zr2Ge2C | the Alexandria database | PBE-GGA | relaxed
data_Tb2Zr2Ge2C
_space_group_name_H-M_alt 'I 4/m m m'
_space_group_IT_number 139
_space_group_name_Hall '-I 4 2'
_cell_length_a 4.437
_cell_length_b 4.437
_cell_length_c 15.352
_cell_angle_alpha 90.00
_cell_angle_beta 90.00
_cell_angle_gamma 90.00
loop_
_atom_site_label
_atom_site_type_symbol
_atom_site_fract_x
_atom_site_fract_y
_atom_site_fract_z
_atom_site_occupancy
Tb1 Tb 0.000 0.000 0.167 1
Zr1 Zr 0.000 0.500 0.000 1
Ge1 Ge 0.000 0.000 0.368 1
C1 C 0.000 0.000 0.000 1
# magnetization: 1.21 μB/cell
# formation energy from the elements: -739 meV per atom
# total energy: -99.97 eV for the cell shown